Entry from Alexandria: an optimized crystal structure of GdY3H (PBE).

Properties
For the total energy, the calculation gives -37.63 eV per cell. The symmetry is No. 221. For the density of states at the Fermi level, the calculation gives 0.940 states/eV per atom.

Unit cell a=5.017 b=5.017 c=5.017 alpha=90.00 beta=90.00 gamma=90.00
Fractional positions:
Gd: 0.000 0.000 0.000
Y: 0.000 0.500 0.500
Y: 0.500 0.000 0.500
Y: 0.500 0.500 0.000
H: 0.500 0.500 0.500